VASP calculation (PBE-GGA) on Si3AgO after structural relaxation.

## Properties
- Crystal system: cubic
- Magnetic moment: 0.00 μB/f.u.
- ΔE to the lowest computed polymorph: 5.69 eV per formula unit
- SG: Pm-3m (221)
- DFT total energy: -3.41 eV per atom

Unit cell a=4.7831 b=4.7831 c=4.7831 alpha=90.00 beta=90.00 gamma=90.00
Last column: nearest neighbours and their distance in Å.
Fractional positions:
Si  0.5000  0.0000  0.0000  2 Ag 2.39
Si  0.0000  0.5000  0.0000  2 Ag 2.39
Si  0.0000  0.0000  0.5000  2 Ag 2.39
O  0.5000  0.5000  0.5000  12 Si 3.38
Ag  0.0000  0.0000  0.0000  6 Si 2.39


VASP calculation (PBE-GGA) on Er3PuTl4Te8 after structural relaxation.

## Properties
- Crystal system: trigonal
- Magnetic moment: 5.02 μB/f.u.
- SG: R-3m (166)
- DFT total energy: -4.88 eV per atom

Unit cell a=8.8912 b=9.6451 c=8.8912 alpha=117.46 beta=120.00 gamma=90.00
Last column: nearest neighbours and their distance in Å.
Fractional positions:
Er  0.5000  0.5000  0.0000  6 Te 3.08-3.09
Er  0.0000  0.5000  0.5000  6 Te 3.08-3.09
Er  0.5000  0.5000  0.5000  6 Te 3.08-3.09
Te  0.7320  0.7127  0.9724  2 Er 3.08, 1 Pu 3.14, 1 Tl 3.45
Te  0.2680  0.2873  0.0276  2 Er 3.08, 1 Pu 3.14, 1 Tl 3.45
Te  0.2404  0.7127  0.9724  2 Er 3.08, 1 Pu 3.14, 1 Tl 3.45
Te  0.7596  0.2873  0.5192  2 Er 3.08, 1 Pu 3.13, 1 Tl 3.44
Te  0.7596  0.2873  0.0276  2 Er 3.08, 1 Pu 3.14, 1 Tl 3.45
Te  0.2404  0.7127  0.4808  2 Er 3.08, 1 Pu 3.13, 1 Tl 3.44
Te  0.2629  0.2888  0.5258  3 Er 3.09
Te  0.7371  0.7112  0.4742  3 Er 3.09
Tl  0.0000  0.0000  0.5000  6 Te 3.49
Tl  0.5000  0.0000  0.0000  6 Te 3.44-3.45
Tl  0.5000  0.0000  0.5000  6 Te 3.49
Tl  0.0000  0.0000  0.0000  6 Te 3.48-3.49
Pu  0.0000  0.5000  0.0000  6 Te 3.13-3.14


VASP calculation (PBE-GGA) on Na2VAg after structural relaxation.

## Properties
- Crystal system: cubic
- Magnetic moment: 4.41 μB/f.u.
- ΔE to the lowest computed polymorph: 0.00 eV per formula unit
- ΔH_f (0 K): 725 meV/atom
- SG: Fm-3m (225)
- DFT total energy: -2.93 eV per atom

Unit cell a=5.0671 b=5.0671 c=5.0671 alpha=60.00 beta=60.00 gamma=60.00
Last column: nearest neighbours and their distance in Å.
Fractional positions:
V  0.0000  0.0000  0.0000  8 Na 3.10
Ag  0.5000  0.5000  0.5000  8 Na 3.10
Na  0.2500  0.2500  0.2500  4 Ag 3.10, 4 V 3.10
Na  0.7500  0.7500  0.7500  4 V 3.10, 4 Ag 3.10


VASP calculation (PBE-GGA) on Sr2AlBr after structural relaxation.

## Properties
- Crystal system: tetragonal
- Magnetic moment: 0.00 μB/f.u.
- ΔE to the lowest computed polymorph: 0.15 eV per formula unit
- SG: P4/mmm (123)
- DFT total energy: -2.96 eV per atom

Unit cell a=3.8095 b=3.8095 c=8.8176 alpha=90.00 beta=90.00 gamma=90.07
Last column: nearest neighbours and their distance in Å.
Fractional positions:
Sr  0.0000  0.0000  0.0167  4 Al 3.39, 4 Br 3.57-3.58
Sr  0.0000  0.0000  0.4833  4 Al 3.39, 4 Br 3.57-3.58
Al  0.5000  0.5000  0.2500  8 Sr 3.39
Br  0.5000  0.5000  0.7500  8 Sr 3.57-3.58, 4 Br 3.81


VASP calculation (PBE-GGA) on NdEr2Hg6 after structural relaxation.

## Properties
- Crystal system: hexagonal
- Magnetic moment: 0.22 μB/f.u.
- ΔE to the lowest computed polymorph: 0.00 eV per formula unit
- ΔH_f (0 K): -380 meV/atom
- SG: P6/mmm (191)
- DFT total energy: -2.13 eV per atom

Unit cell a=3.4330 b=8.6281 c=8.6281 alpha=120.00 beta=90.00 gamma=90.00
Last column: nearest neighbours and their distance in Å.
Fractional positions:
Hg  0.5000  0.3359  0.0000  3 Hg 2.83-2.90
Hg  0.5000  0.3359  0.3359  3 Hg 2.83-2.90
Hg  0.5000  0.6641  0.6641  3 Hg 2.83-2.90
Hg  0.5000  0.0000  0.3359  3 Hg 2.83-2.90
Hg  0.5000  0.0000  0.6641  3 Hg 2.83-2.90
Hg  0.5000  0.6641  0.0000  3 Hg 2.83-2.90
Nd  0.0000  0.0000  0.0000  12 Hg 3.37, 2 Nd 3.43
Er  0.0000  0.3333  0.6667  12 Hg 3.34, 2 Er 3.43
Er  0.0000  0.6667  0.3333  12 Hg 3.34, 2 Er 3.43


VASP calculation (PBE-GGA) on SrFeAsCl2 after structural relaxation.

## Properties
- Crystal system: tetragonal
- Magnetic moment: 1.73 μB/f.u.
- ΔE to the lowest computed polymorph: 0.00 eV per formula unit
- SG: P4/mmm (123)
- DFT total energy: -4.02 eV per atom

Unit cell a=5.5470 b=4.4330 c=5.5470 alpha=90.00 beta=90.00 gamma=90.00
Last column: nearest neighbours and their distance in Å.
Fractional positions:
Cl  0.0000  0.0000  0.5000  2 As 2.77
Cl  0.5000  0.0000  0.0000  2 As 2.77
Sr  0.5000  0.5000  0.5000  8 Cl 3.55, 4 Fe 3.92
Fe  0.0000  0.5000  0.0000  2 As 2.22
As  0.0000  0.0000  0.0000  2 Fe 2.22


VASP calculation (PBE-GGA) on Sb2PbAuI after structural relaxation.

## Properties
- Crystal system: tetragonal
- Magnetic moment: 1.65 μB/f.u.
- ΔE to the lowest computed polymorph: 2.70 eV per formula unit
- SG: P4/mmm (123)
- DFT total energy: -2.41 eV per atom

Unit cell a=5.9288 b=5.9288 c=5.9941 alpha=90.00 beta=90.00 gamma=90.00
Last column: nearest neighbours and their distance in Å.
Fractional positions:
Au  0.5000  0.5000  0.5000  4 I 4.19, 8 Sb 4.22
Pb  0.0000  0.0000  0.0000  4 Sb 2.96, 2 I 3.00
I  0.0000  0.0000  0.5000  2 Pb 3.00
Sb  0.0000  0.5000  0.0000  2 Pb 2.96
Sb  0.5000  0.0000  0.0000  2 Pb 2.96


VASP calculation (PBE-GGA) on YZr5 after structural relaxation.

## Properties
- Crystal system: cubic
- Magnetic moment: 5.37 μB/f.u.
- ΔH_f (0 K): 265 meV/atom
- SG: F-43m (216)
- DFT total energy: -7.94 eV per atom

Unit cell a=5.9994 b=5.9994 c=5.9994 alpha=60.00 beta=60.00 gamma=60.00
Last column: nearest neighbours and their distance in Å.
Fractional positions:
Y  0.0000  0.0000  0.0000  16 Zr 3.52-3.67
Zr  0.2500  0.2500  0.2500  12 Zr 3.52, 4 Y 3.67
Zr  0.6242  0.6242  0.6242  6 Zr 2.98-3.02
Zr  0.6242  0.6242  0.1274  6 Zr 2.98-3.02
Zr  0.1274  0.6242  0.6242  6 Zr 2.98-3.02
Zr  0.6242  0.1274  0.6242  6 Zr 2.98-3.02


VASP calculation (PBE-GGA) on Nd4Er3Hg after structural relaxation.

## Properties
- Crystal system: tetragonal
- Magnetic moment: 0.00 μB/f.u.
- ΔH_f (0 K): -93 meV/atom
- SG: P4/mmm (123)
- DFT total energy: -4.23 eV per atom

Unit cell a=3.6528 b=3.6528 c=19.0887 alpha=90.00 beta=90.00 gamma=90.00
Last column: nearest neighbours and their distance in Å.
Fractional positions:
Nd  0.0000  0.0000  0.3708  8 Er 3.57-3.58, 4 Nd 3.65
Nd  0.0000  0.0000  0.1090  4 Hg 3.32, 4 Er 3.61, 4 Nd 3.65
Nd  0.0000  0.0000  0.8910  4 Hg 3.32, 4 Er 3.61, 4 Nd 3.65
Nd  0.0000  0.0000  0.6292  8 Er 3.57-3.58, 4 Nd 3.65
Hg  0.5000  0.5000  0.0000  8 Nd 3.32, 4 Hg 3.65
Er  0.5000  0.5000  0.5000  8 Nd 3.57, 4 Er 3.65
Er  0.5000  0.5000  0.2408  8 Nd 3.58-3.61, 4 Er 3.65
Er  0.5000  0.5000  0.7592  8 Nd 3.58-3.61, 4 Er 3.65


VASP calculation (PBE-GGA) on HgSbTe2Ru after structural relaxation.

## Properties
- Crystal system: tetragonal
- Magnetic moment: 2.55 μB/f.u.
- ΔE to the lowest computed polymorph: 5.41 eV per formula unit
- SG: P4/mmm (123)
- DFT total energy: -2.51 eV per atom

Unit cell a=5.4880 b=5.3897 c=5.4880 alpha=90.00 beta=90.00 gamma=90.00
Last column: nearest neighbours and their distance in Å.
Fractional positions:
Te  0.5000  0.0000  0.0000  2 Hg 2.74
Te  0.0000  0.0000  0.5000  2 Hg 2.74
Sb  0.0000  0.5000  0.0000  2 Hg 2.69
Hg  0.0000  0.0000  0.0000  2 Sb 2.69, 4 Te 2.74
Ru  0.5000  0.5000  0.5000  8 Te 3.85, 4 Sb 3.88


VASP calculation (PBE-GGA) on KMnRe after structural relaxation.

## Properties
- Crystal system: trigonal
- Magnetic moment: 0.12 μB/f.u.
- ΔE to the lowest computed polymorph: 0.42 eV per formula unit
- ΔH_f (0 K): 1052 meV/atom
- SG: P3m1 (156)
- DFT total energy: -6.52 eV per atom

Unit cell a=2.8126 b=2.8126 c=7.8833 alpha=90.00 beta=90.00 gamma=120.00
Last column: nearest neighbours and their distance in Å.
Fractional positions:
Mn  0.3333  0.6667  0.3802  3 Re 2.46
Re  0.6667  0.3333  0.6146  3 Mn 2.46
K  0.0000  0.0000  0.0052  6 K 2.81


VASP calculation (PBE-GGA) on TcSn3O after structural relaxation.

## Properties
- Crystal system: cubic
- Magnetic moment: 0.98 μB/f.u.
- ΔE to the lowest computed polymorph: 0.46 eV per formula unit
- SG: Pm-3m (221)
- DFT total energy: -5.16 eV per atom

Unit cell a=5.0949 b=5.0949 c=5.0949 alpha=90.00 beta=90.00 gamma=90.00
Last column: nearest neighbours and their distance in Å.
Fractional positions:
O  0.5000  0.5000  0.5000  12 Sn 3.60
Tc  0.0000  0.0000  0.0000  6 Sn 2.55
Sn  0.0000  0.5000  0.0000  2 Tc 2.55
Sn  0.5000  0.0000  0.0000  2 Tc 2.55
Sn  0.0000  0.0000  0.5000  2 Tc 2.55